A plane-wave DFT calculation with PBE was carried out for an optimized crystal structure of ScAg2W.

Structure (CIF):
```
data_ScAg2W
_chemical_formula_sum 'Sc1 Ag2 W1'
_symmetry_space_group_name_H-M 'P 1'
_symmetry_Int_Tables_number 1
_symmetry_space_group_name_Hall 'P 1'
_cell_length_a 5.7632
_cell_length_b 5.7632
_cell_length_c 5.7632
_cell_angle_alpha 150.91
_cell_angle_beta 127.78
_cell_angle_gamma 60.89
loop_
_atom_site_label
_atom_site_type_symbol
_atom_site_fract_x
_atom_site_fract_y
_atom_site_fract_z
Ag1 Ag 0.9995 0.9995 0.0000
Ag2 Ag 0.7558 0.2558 0.5000
W1 W 0.2491 0.7491 0.5000
Sc1 Sc 0.4956 0.4956 0.0000
```

Summary:
N(E_F)	0.909	states/eV per atom
DFT total energy	-5.8322	eV/atom
formation enthalpy at 0 K	414.6	meV per atom

A plane-wave DFT calculation with PBE was carried out for an optimized crystal structure of Tb5PmHoEr2.

Structure (CIF):
```
data_Tb5PmHoEr2
_chemical_formula_sum 'Tb10 Pm2 Ho2 Er4'
_symmetry_space_group_name_H-M 'P 1'
_symmetry_Int_Tables_number 1
_symmetry_space_group_name_Hall 'P 1'
_cell_length_a 5.6027
_cell_length_b 10.3094
_cell_length_c 10.5435
_cell_angle_alpha 90.00
_cell_angle_beta 90.00
_cell_angle_gamma 105.77
loop_
_atom_site_label
_atom_site_type_symbol
_atom_site_fract_x
_atom_site_fract_y
_atom_site_fract_z
Pm1 Pm 0.4149 0.8299 0.4528
Pm2 Pm 0.5851 0.1701 0.9528
Tb1 Tb 0.6122 0.2243 0.5231
Tb2 Tb 0.2985 0.5970 0.7083
Tb3 Tb 0.2813 0.5626 0.3121
Tb4 Tb 0.0178 0.0357 0.0234
Tb5 Tb 0.5212 0.0423 0.2383
Tb6 Tb 0.7187 0.4374 0.8121
Tb7 Tb 0.7015 0.4030 0.2083
Tb8 Tb 0.9822 0.9643 0.5234
Tb9 Tb 0.3878 0.7757 0.0231
Tb10 Tb 0.4788 0.9577 0.7383
Er1 Er 0.1110 0.2220 0.7359
Er2 Er 0.8859 0.7717 0.8184
Er3 Er 0.1141 0.2283 0.3184
Er4 Er 0.8890 0.7780 0.2359
Ho1 Ho 0.8005 0.6011 0.5117
Ho2 Ho 0.1995 0.3989 0.0117
```

Summary:
N(E_F)	1.618	states/eV per atom
DFT total energy	-4.4655	eV/atom
formation enthalpy at 0 K	157.3	meV per atom

A plane-wave DFT calculation with PBE was carried out for an optimized crystal structure of La6InOs2.

Structure (CIF):
```
data_La6InOs2
_chemical_formula_sum 'La12 In2 Os4'
_symmetry_space_group_name_H-M 'P 1'
_symmetry_Int_Tables_number 1
_symmetry_space_group_name_Hall 'P 1'
_cell_length_a 8.9088
_cell_length_b 8.9088
_cell_length_c 8.9088
_cell_angle_alpha 103.20
_cell_angle_beta 111.88
_cell_angle_gamma 113.52
loop_
_atom_site_label
_atom_site_type_symbol
_atom_site_fract_x
_atom_site_fract_y
_atom_site_fract_z
Os1 Os 0.5000 0.6376 0.1376
Os2 Os 0.5000 0.3624 0.8624
Os3 Os 0.3190 0.0000 0.3190
Os4 Os 0.6810 0.0000 0.6810
La1 La 0.2068 0.7696 0.9764
La2 La 0.6874 0.0231 0.3356
La3 La 0.2068 0.2304 0.4371
La4 La 0.5243 0.7011 0.8231
La5 La 0.1220 0.2989 0.8231
La6 La 0.3126 0.9769 0.6644
La7 La 0.8780 0.7011 0.1769
La8 La 0.3126 0.6482 0.3356
La9 La 0.4757 0.2989 0.1769
La10 La 0.7932 0.7696 0.5629
La11 La 0.6874 0.3518 0.6644
La12 La 0.7932 0.2304 0.0236
In1 In 0.0000 0.5000 0.5000
In2 In 0.0000 0.0000 0.0000
```

Summary:
N(E_F)	0.814	states/eV per atom
DFT total energy	-6.3402	eV/atom
formation enthalpy at 0 K	-255.5	meV per atom

A plane-wave DFT calculation with PBE was carried out for an optimized crystal structure of ThInHgPt.

Structure (CIF):
```
data_ThInHgPt
_chemical_formula_sum 'Th1 In1 Hg1 Pt1'
_symmetry_space_group_name_H-M 'P 1'
_symmetry_Int_Tables_number 1
_symmetry_space_group_name_Hall 'P 1'
_cell_length_a 5.0824
_cell_length_b 5.0824
_cell_length_c 5.0824
_cell_angle_alpha 60.00
_cell_angle_beta 60.00
_cell_angle_gamma 60.00
loop_
_atom_site_label
_atom_site_type_symbol
_atom_site_fract_x
_atom_site_fract_y
_atom_site_fract_z
Th1 Th 0.2500 0.2500 0.2500
Pt1 Pt 0.0000 0.0000 0.0000
Hg1 Hg 0.5000 0.5000 0.5000
In1 In 0.7500 0.7500 0.7500
```

Summary:
N(E_F)	0.556	states/eV per atom
DFT total energy	-4.7090	eV/atom
formation enthalpy at 0 K	-583.8	meV per atom

A plane-wave DFT calculation with PBE was carried out for an optimized crystal structure of K3Sn2Pb9.

Structure (CIF):
```
data_K3Sn2Pb9
_chemical_formula_sum 'K3 Sn2 Pb9'
_symmetry_space_group_name_H-M 'P 1'
_symmetry_Int_Tables_number 1
_symmetry_space_group_name_Hall 'P 1'
_cell_length_a 5.2663
_cell_length_b 9.9200
_cell_length_c 9.9200
_cell_angle_alpha 82.29
_cell_angle_beta 74.61
_cell_angle_gamma 74.61
loop_
_atom_site_label
_atom_site_type_symbol
_atom_site_fract_x
_atom_site_fract_y
_atom_site_fract_z
K1 K 0.2875 0.7125 0.7125
K2 K 0.7125 0.2875 0.2875
K3 K 0.0000 0.0000 0.0000
Pb1 Pb 0.3739 0.9892 0.2630
Pb2 Pb 0.6261 0.7370 0.0108
Pb3 Pb 0.8526 0.8654 0.4294
Pb4 Pb 0.6261 0.0108 0.7370
Pb5 Pb 0.0000 0.5000 0.5000
Pb6 Pb 0.1474 0.1346 0.5706
Pb7 Pb 0.8526 0.4294 0.8654
Pb8 Pb 0.3739 0.2630 0.9892
Pb9 Pb 0.1474 0.5706 0.1346
Sn1 Sn 0.5000 0.6642 0.3358
Sn2 Sn 0.5000 0.3358 0.6642
```

Summary:
N(E_F)	0.419	states/eV per atom
DFT total energy	-3.2916	eV/atom
formation enthalpy at 0 K	-100.6	meV per atom